Compound: Na2Bi4Pt
Source: Alexandria
Functional: PBE
Structure: optimized geometry Values from VASP.

```
&SYSTEM
  ibrav = 0, nat = 7, ntyp = 3
/
ATOMIC_SPECIES
Na 22.99 Na.upf
Bi 208.98 Bi.upf
Pt 195.08 Pt.upf
CELL_PARAMETERS angstrom
-1.248 -5.220 1.052
5.291 -1.093 0.855
1.088 -1.288 9.120
ATOMIC_POSITIONS crystal
Na 0.356 0.356 0.288
Na 0.644 0.644 0.712
Bi 0.161 0.161 0.679
Bi 0.839 0.839 0.321
Bi 0.000 0.500 0.000
Bi 0.500 0.000 0.000
Pt 0.000 0.000 0.000
```

Calculated total energy = -3.37 eV/atom
Crystal system = tetragonal
Total magnetic moment = 0.0 μB per formula unit
Formation energy from the elements = 85 meV/atom
D(E_F) = 4.52 states/eV/cell
Theoretical density = 7.09 g/cm3

---

Compound: CdHg2Au2
Source: Alexandria
Functional: PBE
Structure: optimized geometry Values from VASP.

```
&SYSTEM
  ibrav = 0, nat = 5, ntyp = 3
/
ATOMIC_SPECIES
Au 196.97 Au.upf
Hg 200.59 Hg.upf
Cd 112.41 Cd.upf
CELL_PARAMETERS angstrom
-0.457 -2.935 -2.711
2.942 1.599 -2.227
6.010 -4.611 0.997
ATOMIC_POSITIONS crystal
Au 0.406 0.406 0.188
Au 0.594 0.594 0.812
Hg 0.750 0.250 0.500
Hg 0.250 0.750 0.500
Cd 0.000 0.000 0.000
```

Calculated total energy = -1.53 eV/atom
Crystal system = tetragonal
Total magnetic moment = 0.0 μB per formula unit
Distance to the lowest polymorph of the same formula = 66 meV per atom
Formation energy from the elements = 84 meV/atom
D(E_F) = 2.01 states/eV/cell
Theoretical density = 13.14 g/cm3

---

Compound: Dy2PaRu3
Source: Alexandria
Functional: PBE
Structure: optimized geometry Values from VASP.

```
&SYSTEM
  ibrav = 0, nat = 6, ntyp = 3
/
ATOMIC_SPECIES
Dy 162.50 Dy.upf
Pa 231.04 Pa.upf
Ru 101.07 Ru.upf
CELL_PARAMETERS angstrom
4.825 0.000 0.000
-2.412 4.178 0.000
0.000 0.000 5.920
ATOMIC_POSITIONS crystal
Dy 0.667 0.333 0.343
Dy 0.333 0.667 0.657
Pa 0.000 0.000 0.000
Ru 0.000 0.000 0.500
Ru 0.667 0.333 0.853
Ru 0.333 0.667 0.147
```

Calculated total energy = -8.22 eV/atom
Crystal system = trigonal
Total magnetic moment = 0.0 μB per formula unit
Distance to the lowest polymorph of the same formula = 0 meV per atom
Formation energy from the elements = -468 meV/atom
D(E_F) = 2.36 states/eV/cell
Theoretical density = 11.95 g/cm3

---

Compound: Ta2CuC
Source: Alexandria
Functional: PBE
Structure: optimized geometry Values from VASP.

```
&SYSTEM
  ibrav = 0, nat = 4, ntyp = 3
/
ATOMIC_SPECIES
C 12.01 C.upf
Cu 63.55 Cu.upf
Ta 180.95 Ta.upf
CELL_PARAMETERS angstrom
3.107 0.000 0.000
1.554 2.691 0.000
1.554 0.897 6.679
ATOMIC_POSITIONS crystal
C 0.000 0.000 0.000
Cu 0.500 0.500 0.500
Ta 0.728 0.728 0.815
Ta 0.272 0.272 0.185
```

Calculated total energy = -9.51 eV/atom
Crystal system = trigonal
Total magnetic moment = 0.0 μB per formula unit
Formation energy from the elements = -259 meV/atom
D(E_F) = 2.77 states/eV/cell
Theoretical density = 13.01 g/cm3